Record 1
# Sc6CuC4

An optimized crystal structure of Sc6CuC4 (PBE, the Alexandria database).

Output
E_form (eV per atom): -0.37
N(E_F) (states/eV/cell): 7.727
Energy (eV per atom): -7.5493
Space group: No. 63

a = 5.816 Å, b = 5.816 Å, c = 17.575 Å
α = 90.00°, β = 90.00°, γ = 146.00°
Fractional positions:
Sc1 0.000 0.000 0.000
Sc2 0.000 0.000 0.500
Sc3 0.167 0.833 0.750
Sc4 0.271 0.729 0.076
Sc5 0.271 0.729 0.424
Sc6 0.469 0.531 0.647
Sc7 0.469 0.531 0.853
Sc8 0.531 0.469 0.147
Sc9 0.531 0.469 0.353
Sc10 0.729 0.271 0.576
Sc11 0.729 0.271 0.924
Sc12 0.833 0.167 0.250
Cu1 0.139 0.861 0.250
Cu2 0.861 0.139 0.750
C1 0.095 0.905 0.632
C2 0.095 0.905 0.868
C3 0.363 0.637 0.542
C4 0.363 0.637 0.958
C5 0.637 0.363 0.042
C6 0.637 0.363 0.458
C7 0.905 0.095 0.132
C8 0.905 0.095 0.368



Record 2
# Sc4CuC2

An optimized crystal structure of Sc4CuC2 (PBE, the Alexandria database).

Output
E_form (eV per atom): -0.34
N(E_F) (states/eV/cell): 11.567
Energy (eV per atom): -7.1784
Space group: No. 63

a = 5.806 Å, b = 5.806 Å, c = 11.975 Å
α = 90.00°, β = 90.00°, γ = 145.94°
Fractional positions:
Sc1 0.000 0.000 0.000
Sc2 0.000 0.000 0.500
Sc3 0.264 0.736 0.603
Sc4 0.264 0.736 0.897
Sc5 0.431 0.569 0.250
Sc6 0.569 0.431 0.750
Sc7 0.736 0.264 0.103
Sc8 0.736 0.264 0.397
Cu1 0.120 0.880 0.250
Cu2 0.880 0.120 0.750
C1 0.366 0.634 0.065
C2 0.366 0.634 0.435
C3 0.634 0.366 0.565
C4 0.634 0.366 0.935



Record 3
# Sc2CuSnC

An optimized crystal structure of Sc2CuSnC (PBE, the Alexandria database).

Output
E_form (eV per atom): -0.39
N(E_F) (states/eV/cell): 3.055
Energy (eV per atom): -6.3883
Space group: No. 123

a = 4.554 Å, b = 4.554 Å, c = 4.054 Å
α = 90.00°, β = 90.00°, γ = 90.00°
Fractional positions:
Sc1 0.000 0.500 0.000
Sc2 0.500 0.000 0.000
Cu1 0.000 0.000 0.500
Sn1 0.500 0.500 0.500
C1 0.000 0.000 0.000



Record 4
# Sc2CuTcC

An optimized crystal structure of Sc2CuTcC (PBE, the Alexandria database).

Output
E_form (eV per atom): -0.25
N(E_F) (states/eV/cell): 4.033
Energy (eV per atom): -7.5238
Space group: No. 123

a = 4.497 Å, b = 4.497 Å, c = 3.945 Å
α = 90.00°, β = 90.00°, γ = 90.00°
Fractional positions:
Sc1 0.000 0.500 0.000
Sc2 0.500 0.000 0.000
Cu1 0.000 0.000 0.500
Tc1 0.500 0.500 0.500
C1 0.500 0.500 0.000



Record 5
# Sc2TlCuC

An optimized crystal structure of Sc2TlCuC (PBE, the Alexandria database).

Output
E_form (eV per atom): -0.24
N(E_F) (states/eV/cell): 3.395
Energy (eV per atom): -5.9068
Space group: No. 123

a = 4.577 Å, b = 4.577 Å, c = 4.051 Å
α = 90.00°, β = 90.00°, γ = 90.00°
Fractional positions:
Sc1 0.000 0.500 0.000
Sc2 0.500 0.000 0.000
Tl1 0.000 0.000 0.500
Cu1 0.500 0.500 0.500
C1 0.500 0.500 0.000



Record 6
# Sc2TlCuC

An optimized crystal structure of Sc2TlCuC (PBE, the Alexandria database).

Output
E_form (eV per atom): 1.61
N(E_F) (states/eV/cell): 6.114
Energy (eV per atom): -4.0586
Space group: No. 123

a = 5.463 Å, b = 5.463 Å, c = 4.127 Å
α = 90.00°, β = 90.00°, γ = 90.00°
Fractional positions:
Sc1 0.000 0.500 0.000
Sc2 0.500 0.000 0.000
Tl1 0.000 0.000 0.000
Cu1 0.500 0.500 0.500
C1 0.000 0.000 0.500



Record 7
# Sc2VCuC

An optimized crystal structure of Sc2VCuC (PBE, the Alexandria database).

Output
E_form (eV per atom): -0.21
N(E_F) (states/eV/cell): 5.187
Energy (eV per atom): -7.2306
Space group: No. 123

a = 4.524 Å, b = 4.524 Å, c = 3.918 Å
α = 90.00°, β = 90.00°, γ = 90.00°
Fractional positions:
Sc1 0.000 0.500 0.000
Sc2 0.500 0.000 0.000
V1 0.000 0.000 0.500
Cu1 0.500 0.500 0.500
C1 0.000 0.000 0.000



Record 8
# ScCu2WC

An optimized crystal structure of ScCu2WC (PBE, the Alexandria database).

Output
E_form (eV per atom): 2.43
N(E_F) (states/eV/cell): 5.672
Energy (eV per atom): -4.9058
Space group: No. 123

a = 4.634 Å, b = 4.634 Å, c = 5.008 Å
α = 90.00°, β = 90.00°, γ = 90.00°
Fractional positions:
Sc1 0.000 0.000 0.000
Cu1 0.000 0.500 0.500
Cu2 0.500 0.000 0.500
W1 0.000 0.000 0.500
C1 0.500 0.500 0.000



Record 9
# YSc2CuC

An optimized crystal structure of YSc2CuC (PBE, the Alexandria database).

Output
E_form (eV per atom): -0.24
N(E_F) (states/eV/cell): 3.386
Energy (eV per atom): -6.7329
Space group: No. 123

a = 4.435 Å, b = 4.435 Å, c = 4.981 Å
α = 90.00°, β = 90.00°, γ = 90.00°
Fractional positions:
Y1 0.000 0.000 0.000
Sc1 0.000 0.500 0.500
Sc2 0.500 0.000 0.500
Cu1 0.500 0.500 0.000
C1 0.000 0.000 0.500



Record 10
# ZrSc2CuC

An optimized crystal structure of ZrSc2CuC (PBE, the Alexandria database).

Output
E_form (eV per atom): -0.26
N(E_F) (states/eV/cell): 7.961
Energy (eV per atom): -7.1629
Space group: No. 123

a = 4.440 Å, b = 4.440 Å, c = 4.551 Å
α = 90.00°, β = 90.00°, γ = 90.00°
Fractional positions:
Zr1 0.000 0.000 0.000
Sc1 0.000 0.500 0.500
Sc2 0.500 0.000 0.500
Cu1 0.500 0.500 0.000
C1 0.000 0.000 0.500



Record 11
# Zr2ScCuC

An optimized crystal structure of Zr2ScCuC (PBE, the Alexandria database).

Output
E_form (eV per atom): -0.25
N(E_F) (states/eV/cell): 5.753
Energy (eV per atom): -7.6011
Space group: No. 123

a = 4.520 Å, b = 4.520 Å, c = 4.422 Å
α = 90.00°, β = 90.00°, γ = 90.00°
Fractional positions:
Zr1 0.000 0.500 0.000
Zr2 0.500 0.000 0.000
Sc1 0.000 0.000 0.500
Cu1 0.500 0.500 0.500
C1 0.000 0.000 0.000



Record 12
# CuCSe3

An optimized crystal structure of CuCSe3 (PBE, the Alexandria database).

Output
N(E_F) (states/eV/cell): 4.825
Energy (eV per atom): -2.9779
Raw formation energy (eV/f.u.): 8.88
Space group: No. 221

a = 4.732 Å, b = 4.732 Å, c = 4.732 Å
α = 90.00°, β = 90.00°, γ = 90.00°
Fractional positions:
Cu1 0.000 0.000 0.000
C1 0.500 0.500 0.500
Se1 0.000 0.000 0.500
Se2 0.000 0.500 0.000
Se3 0.500 0.000 0.000